Density functional theory data (PBEsol) for an optimized crystal structure of TaAg2Br.

a b c (Å): 2.971 4.617 10.847
angles (deg): 90.00 90.00 90.00
Element x y z (fractional)
Ta 0.000 0.000 0.000
Ta 0.500 0.500 0.500
Ag 0.000 0.500 0.272
Ag 0.000 0.500 0.728
Ag 0.500 0.000 0.228
Ag 0.500 0.000 0.772
Br 0.000 0.000 0.500
Br 0.500 0.500 0.000

Results
As for the space-group type: Immm. The volume comes out at 148.8 Å³/cell. The raw total energy is -38.17 eV per cell.